[1]
The following is a DFT calculation (PBE) of a geometry-optimized LaNiOs structure.

Calculated values
Its total energy is -0.543 Ry per atom. For the offset from the most stable computed form, the calculation gives 148.1 meV per atom. The value obtained for the calculated formation energy is -0.077 eV per atom.

Cell: 10.8588 4.3115 5.7375 Å, 90.00 109.30 90.00°
Closest atoms and distances in Å follow each position.
Space group C2/m (No. 12)
Inequivalent atoms, fractional coordinates:
La 0.1034 0.0000 0.3113 x4  5 Ni 3.03-3.31, 5 Os 3.04-3.36
Ni 0.0933 0.5000 0.6956 x4  1 Ni 2.48, 3 Os 2.54-2.61
Os 0.2200 0.0000 0.8967 x4  2 Os 2.44, 3 Ni 2.54-2.61

=====

[2]
The following is a DFT calculation (PBE) of a geometry-optimized LaNi4Os structure.

Calculated values
Its total energy is -0.472 Ry per atom. The value obtained for the calculated formation energy is 0.124 eV per atom.

Cell: 7.0273 7.0273 7.0273 Å, 90.00 90.00 90.00°
Closest atoms and distances in Å follow each position.
Space group F-43m (No. 216)
Inequivalent atoms, fractional coordinates:
La 0.0000 0.0000 0.0000 x4  12 Ni 2.92, 4 Os 3.04
Ni 0.1234 0.1234 0.6234 x16  6 Ni 2.45-2.52
Os 0.2500 0.2500 0.2500 x4  12 Ni 2.91, 4 La 3.04

=====

[3]
The following is a DFT calculation (PBE) of a geometry-optimized LaNi2Os2 structure.

Calculated values
Its total energy is -0.565 Ry per atom. The value obtained for the calculated formation energy is 0.100 eV per atom.

Cell: 4.2043 4.2043 10.0470 Å, 90.00 90.00 90.00°
Closest atoms and distances in Å follow each position.
Space group I4/mmm (No. 139)
Inequivalent atoms, fractional coordinates:
La 0.0000 0.0000 0.0000 x2  8 Os 3.19, 8 Ni 3.28
Ni 0.0000 0.5000 0.2500 x4  4 Os 2.50
Os 0.0000 0.0000 0.3840 x4  1 Os 2.33, 4 Ni 2.50

=====

[4]
The following is a DFT calculation (PBE) of a geometry-optimized La6NiOs2 structure.

Calculated values
Its total energy is -0.484 Ry per atom. The value obtained for the calculated formation energy is -0.161 eV per atom.

Cell: 17.2151 4.3118 7.8182 Å, 90.00 95.85 90.00°
Closest atoms and distances in Å follow each position.
Space group C2/m (No. 12)
Inequivalent atoms, fractional coordinates:
La 0.0059 0.0000 0.2448 x4  1 Os 2.76, 2 Ni 2.88
La 0.1670 0.5000 0.0822 x4  2 Os 2.84, 1 Ni 2.88
La 0.1671 0.5000 0.5665 x4  3 Os 2.90-2.93
Ni 0.0000 0.5000 0.0000 x2  6 La 2.88
Os 0.1658 0.0000 0.3180 x4  6 La 2.76-2.93

=====

[5]
The following is a DFT calculation (PBE) of a geometry-optimized LaNiOs structure.

Calculated values
Its total energy is -0.544 Ry per atom. For the offset from the most stable computed form, the calculation gives 137.3 meV per atom. The value obtained for the calculated formation energy is -0.088 eV per atom.

Cell: 10.1720 4.4188 5.1807 Å, 90.00 90.50 90.00°
Closest atoms and distances in Å follow each position.
Space group Cm (No. 8)
Inequivalent atoms, fractional coordinates:
La 0.0000 0.0000 0.0000 x2  2 Ni 2.75-3.07
La 0.0504 0.5000 0.4993 x2  2 Os 2.70-2.91
Ni 0.2299 0.5000 0.0040 x2  2 Ni 2.54, 4 Os 2.67-2.80, 1 La 2.75
Ni 0.2809 0.0000 0.7863 x2  4 Os 2.52-2.66, 2 Ni 2.54
Os 0.2876 0.0000 0.2727 x2  4 Ni 2.52-2.67, 2 Os 2.57
Os 0.3162 0.5000 0.5186 x2  2 Os 2.57, 4 Ni 2.63-2.80, 1 La 2.70

=====

[6]
The following is a DFT calculation (PBE) of a geometry-optimized La5NiOs structure.

Calculated values
Its total energy is -0.442 Ry per atom. The value obtained for the calculated formation energy is -0.058 eV per atom.

Cell: 12.0846 11.8999 6.2025 Å, 90.00 105.05 90.00°
Closest atoms and distances in Å follow each position.
Space group C2/c (No. 15)
Inequivalent atoms, fractional coordinates:
La 0.0000 0.1029 0.2500 x4  3 Os 3.09-3.17
La 0.0674 0.3618 0.5422 x8  1 Ni 2.65
La 0.2318 0.1146 0.8694 x8  1 Os 2.75, 1 Ni 2.86
Ni 0.2500 0.2500 0.5000 x4  4 La 2.65-2.86
Os 0.0000 0.1570 0.7500 x4  4 La 2.75-2.97

=====

What is the formula in the first record?
LaNiOs

=====

calculated formation energy of number 1 (LaNiOs)?
-0.077 eV per atom

=====

Number 4 is which compound?
La6NiOs2